Record 1
# SrZr2TeO8

SrZr2TeO8 after structural relaxation (GGA-PBE, the Alexandria database).

Cell: 4.9434 4.9434 6.8094 Å, 90.00 90.00 92.26°
Last column: nearest neighbours and their distance in Å.
Fractional coordinates of all 12 atoms:
Sr1 0.0000 0.0000 0.0000  6 O 2.34-2.44
Zr1 0.5000 0.5000 0.2456  4 O 2.07-2.09
Zr2 0.5000 0.5000 0.7544  4 O 2.07-2.09
Te1 0.0000 0.0000 0.5000  6 O 1.94-2.00
O1 0.1991 0.1991 0.2966  1 Te 1.94, 1 Zr 2.09
O2 0.1991 0.1991 0.7034  1 Te 1.94, 1 Zr 2.09
O3 0.2807 0.7193 0.5000  1 Te 2.00
O4 0.3286 0.6714 0.0000  2 Zr 2.07
O5 0.6714 0.3286 0.0000  2 Zr 2.07
O6 0.7193 0.2807 0.5000  1 Te 2.00
O7 0.8009 0.8009 0.2966  1 Te 1.94, 1 Zr 2.09
O8 0.8009 0.8009 0.7034  1 Te 1.94, 1 Zr 2.09

Computed properties:
DOS(E_F)   0.000 states/eV per atom
Electronic total energy   -7.58 eV per atom
ρ   5.2 g cm⁻³
Total moment   0.0 μB per cell
ΔE_f (raw)   -2446 meV per atom

=====

Record 2
# SrZrTeO6

SrZrTeO6 after structural relaxation (GGA-PBE, the Alexandria database).

Cell: 5.4825 5.4825 10.6419 Å, 90.00 90.00 120.00°
Last column: nearest neighbours and their distance in Å.
Fractional coordinates of all 18 atoms:
Sr1 0.0000 0.0000 0.0000  6 O 2.59
Sr2 0.0000 0.0000 0.5000  6 O 2.59
Zr1 0.3333 0.6667 0.2500  6 O 2.13
Zr2 0.6667 0.3333 0.7500  6 O 2.13
Te1 0.3333 0.6667 0.7500  6 O 1.96
Te2 0.6667 0.3333 0.2500  6 O 1.96
O1 0.0236 0.3888 0.6462  1 Te 1.96, 1 Zr 2.13
O2 0.0236 0.6347 0.8538  1 Te 1.96, 1 Zr 2.13
O3 0.3653 0.3888 0.8538  1 Te 1.96, 1 Zr 2.13
O4 0.3653 0.9764 0.6462  1 Te 1.96, 1 Zr 2.13
O5 0.3888 0.0236 0.1462  1 Te 1.96, 1 Zr 2.13
O6 0.3888 0.3653 0.3538  1 Te 1.96, 1 Zr 2.13
O7 0.6112 0.6347 0.6462  1 Te 1.96, 1 Zr 2.13
O8 0.6112 0.9764 0.8538  1 Te 1.96, 1 Zr 2.13
O9 0.6347 0.0236 0.3538  1 Te 1.96, 1 Zr 2.13
O10 0.6347 0.6112 0.1462  1 Te 1.96, 1 Zr 2.13
O11 0.9764 0.3653 0.1462  1 Te 1.96, 1 Zr 2.13
O12 0.9764 0.6112 0.3538  1 Te 1.96, 1 Zr 2.13

Computed properties:
DOS(E_F)   0.000 states/eV per atom
Electronic total energy   -7.10 eV per atom
ρ   4.8 g cm⁻³
Total moment   0.0 μB per cell
ΔE_f (raw)   -2309 meV per atom